Entry 1:
The following is a DFT calculation (GGA-PBE) of RbGaSi after structural relaxation. Values from VASP.

Cell and atoms, written as Quantum ESPRESSO input:
```
&SYSTEM
  ibrav = 0, nat = 6, ntyp = 3
/
ATOMIC_SPECIES
Rb 85.47 Rb.upf
Ga 69.72 Ga.upf
Si 28.09 Si.upf
CELL_PARAMETERS angstrom
-3.572 1.465 1.810
-4.728 -1.085 -3.441
0.313 -7.413 1.632
ATOMIC_POSITIONS crystal
Rb 0.990 0.742 0.989
Rb 0.430 0.168 0.291
Ga 0.598 0.339 0.800
Ga 0.822 0.571 0.480
Si 0.132 0.155 0.684
Si 0.287 0.755 0.597
```

Properties
symmetry = No. 2
raw total energy = -3.16 eV per atom
density of states at the Fermi level = 1.64 states/eV per cell
ΔE_f (raw) = -20.7 meV per atom
total magnetization = 0.000 μB/atom


Entry 2:
The following is a DFT calculation (GGA-PBE) of RbGaSi after structural relaxation. Values from VASP.

Cell and atoms, written as Quantum ESPRESSO input:
```
&SYSTEM
  ibrav = 0, nat = 6, ntyp = 3
/
ATOMIC_SPECIES
Si 28.09 Si.upf
Ga 69.72 Ga.upf
Rb 85.47 Rb.upf
CELL_PARAMETERS angstrom
15.028 0.000 0.114
7.060 1.889 -3.286
-7.060 1.889 3.286
ATOMIC_POSITIONS crystal
Si 0.779 0.615 0.385
Si 0.811 0.184 0.816
Ga 0.101 0.042 0.958
Ga 0.116 0.401 0.599
Rb 0.273 0.582 0.418
Rb 0.638 0.032 0.968
```

Properties
symmetry = No. 8
raw total energy = -3.08 eV per atom
density of states at the Fermi level = 3.71 states/eV per cell
ΔE_f (raw) = 57.9 meV per atom
total magnetization = 0.000 μB/atom


Entry 3:
The following is a DFT calculation (GGA-PBE) of RbGaSi after structural relaxation. Values from VASP.

Cell and atoms, written as Quantum ESPRESSO input:
```
&SYSTEM
  ibrav = 0, nat = 6, ntyp = 3
/
ATOMIC_SPECIES
Si 28.09 Si.upf
Ga 69.72 Ga.upf
Rb 85.47 Rb.upf
CELL_PARAMETERS angstrom
3.626 -4.542 0.000
3.626 4.542 0.000
0.000 0.000 6.386
ATOMIC_POSITIONS crystal
Si 0.688 0.312 0.250
Si 0.312 0.688 0.750
Ga 0.500 0.500 0.000
Ga 0.500 0.500 0.500
Rb 0.128 0.872 0.250
Rb 0.872 0.128 0.750
```

Properties
symmetry = No. 63
raw total energy = -2.98 eV per atom
density of states at the Fermi level = 1.26 states/eV per cell
ΔE_f (raw) = 163.1 meV per atom
total magnetization = 0.000 μB/atom